(1)
Computed, not measured: a relaxed structure of Pm2CuSi3 at the PBE-GGA level of DFT.

* E_form (uncorrected): -756 meV per atom
* theoretical density: 6.08 g/cm³
* size of the total moment: 0.000 μB/cell
* calculated volume: 19.94 A^3/atom

a b c (Å): 8.173 8.085 5.850
angles (deg): 69.72 68.11 42.17
Sites, in units of the cell vectors:
Pm (0.243, 0.757, 0.243)
Pm (0.250, 0.250, 0.250)
Pm (0.750, 0.750, 0.750)
Pm (0.757, 0.243, 0.757)
Cu (0.334, 0.334, 0.666)
Cu (0.666, 0.666, 0.334)
Si (0.169, 0.169, 0.831)
Si (0.171, 0.660, 0.829)
Si (0.340, 0.829, 0.660)
Si (0.660, 0.171, 0.340)
Si (0.829, 0.340, 0.171)
Si (0.831, 0.831, 0.169)

=====

(2)
Computed, not measured: a relaxed structure of PmCu5Si3 at the PBE-GGA level of DFT.

* E_form (uncorrected): -297 meV per atom
* theoretical density: 6.66 g/cm³
* size of the total moment: 0.000 μB/cell
* calculated volume: 15.14 A^3/atom

a b c (Å): 6.337 6.337 11.746
angles (deg): 90.00 90.00 144.69
Sites, in units of the cell vectors:
Pm (0.165, 0.835, 0.750)
Pm (0.835, 0.165, 0.250)
Cu (0.000, 0.000, 0.000)
Cu (0.000, 0.000, 0.500)
Cu (0.195, 0.805, 0.060)
Cu (0.195, 0.805, 0.440)
Cu (0.443, 0.557, 0.648)
Cu (0.443, 0.557, 0.852)
Cu (0.557, 0.443, 0.148)
Cu (0.557, 0.443, 0.352)
Cu (0.805, 0.195, 0.560)
Cu (0.805, 0.195, 0.940)
Si (0.121, 0.879, 0.250)
Si (0.386, 0.614, 0.048)
Si (0.386, 0.614, 0.452)
Si (0.614, 0.386, 0.548)
Si (0.614, 0.386, 0.952)
Si (0.879, 0.121, 0.750)

=====

(3)
Computed, not measured: a relaxed structure of Pm6CuSi3 at the PBE-GGA level of DFT.

* E_form (uncorrected): -362 meV per atom
* theoretical density: 6.10 g/cm³
* size of the total moment: 0.001 μB/cell
* calculated volume: 27.72 A^3/atom

a b c (Å): 6.351 8.250 12.206
angles (deg): 90.00 119.91 90.00
Sites, in units of the cell vectors:
Pm (0.067, 0.174, 0.432)
Pm (0.067, 0.326, 0.932)
Pm (0.295, 0.678, 0.429)
Pm (0.295, 0.822, 0.929)
Pm (0.395, 0.051, 0.248)
Pm (0.395, 0.449, 0.748)
Pm (0.605, 0.551, 0.252)
Pm (0.605, 0.949, 0.752)
Pm (0.705, 0.178, 0.071)
Pm (0.705, 0.322, 0.571)
Pm (0.933, 0.674, 0.068)
Pm (0.933, 0.826, 0.568)
Cu (0.000, 0.000, 0.000)
Cu (0.000, 0.500, 0.500)
Si (0.166, 0.116, 0.749)
Si (0.166, 0.384, 0.249)
Si (0.500, 0.000, 0.500)
Si (0.500, 0.500, 0.000)
Si (0.834, 0.616, 0.751)
Si (0.834, 0.884, 0.251)

=====

(4)
Computed, not measured: a relaxed structure of PmCu4Si at the PBE-GGA level of DFT.

* E_form (uncorrected): -89 meV per atom
* theoretical density: 7.67 g/cm³
* size of the total moment: 0.000 μB/cell
* calculated volume: 15.42 A^3/atom

a b c (Å): 5.077 5.077 5.077
angles (deg): 60.00 60.00 60.00
Sites, in units of the cell vectors:
Pm (0.000, 0.000, 0.000)
Cu (0.376, 0.376, 0.376)
Cu (0.376, 0.376, 0.873)
Cu (0.376, 0.873, 0.376)
Cu (0.873, 0.376, 0.376)
Si (0.750, 0.750, 0.750)